--- w ---
Here is a geometry-optimized Cu6Ag structure from the Open Quantum Materials Database. Energies are from PBE-GGA.

```
data_Cu6Ag
_chemical_formula_sum 'Cu6 Ag1'
_space_group_name_H-M_alt 'P 1'
_space_group_IT_number 1
_cell_length_a 14.9413
_cell_length_b 14.9413
_cell_length_c 14.9413
_cell_angle_alpha 10.11
_cell_angle_beta 10.11
_cell_angle_gamma 10.11
loop_
_space_group_symop_operation_xyz
'x,y,z'
loop_
_atom_site_label
_atom_site_type_symbol
_atom_site_fract_x
_atom_site_fract_y
_atom_site_fract_z
_atom_site_occupancy
Ag1 Ag 0.5000 0.5000 0.5000 1
Cu1 Cu 0.0691 0.0691 0.0691 1
Cu2 Cu 0.2185 0.2185 0.2185 1
Cu3 Cu 0.3564 0.3564 0.3564 1
Cu4 Cu 0.6436 0.6436 0.6436 1
Cu5 Cu 0.7815 0.7815 0.7815 1
Cu6 Cu 0.9309 0.9309 0.9309 1
```

---

--- x ---
Here is a geometry-optimized Cu6Ag structure from the Open Quantum Materials Database. Energies are from PBE-GGA.

```
data_Cu6Ag
_chemical_formula_sum 'Cu6 Ag1'
_space_group_name_H-M_alt 'P 1'
_space_group_IT_number 1
_cell_length_a 4.5331
_cell_length_b 4.5331
_cell_length_c 4.5331
_cell_angle_alpha 99.48
_cell_angle_beta 99.48
_cell_angle_gamma 99.48
loop_
_space_group_symop_operation_xyz
'x,y,z'
loop_
_atom_site_label
_atom_site_type_symbol
_atom_site_fract_x
_atom_site_fract_y
_atom_site_fract_z
_atom_site_occupancy
Ag1 Ag 0.0000 0.0000 0.0000 1
Cu1 Cu 0.2988 0.5755 0.1481 1
Cu2 Cu 0.5755 0.1481 0.2988 1
Cu3 Cu 0.8519 0.7012 0.4245 1
Cu4 Cu 0.1481 0.2988 0.5755 1
Cu5 Cu 0.4245 0.8519 0.7012 1
Cu6 Cu 0.7012 0.4245 0.8519 1
```

---

--- y ---
Here is a geometry-optimized Cu6Ag structure from the Open Quantum Materials Database. Energies are from PBE-GGA.

```
data_Cu6Ag
_chemical_formula_sum 'Cu6 Ag1'
_space_group_name_H-M_alt 'P 1'
_space_group_IT_number 1
_cell_length_a 9.6267
_cell_length_b 9.6267
_cell_length_c 9.6267
_cell_angle_alpha 164.19
_cell_angle_beta 158.21
_cell_angle_gamma 27.03
loop_
_space_group_symop_operation_xyz
'x,y,z'
loop_
_atom_site_label
_atom_site_type_symbol
_atom_site_fract_x
_atom_site_fract_y
_atom_site_fract_z
_atom_site_occupancy
Ag1 Ag 0.0000 0.0000 0.0000 1
Cu1 Cu 0.1481 0.1481 0.0000 1
Cu2 Cu 0.2839 0.2839 0.0000 1
Cu3 Cu 0.4192 0.4192 0.0000 1
Cu4 Cu 0.5808 0.5808 0.0000 1
Cu5 Cu 0.7161 0.7161 0.0000 1
Cu6 Cu 0.8519 0.8519 0.0000 1
```

---

The winner here is y, beating the second structure by 0.9 kJ/mol of atoms.

---

--- w ---
Here is a geometry-optimized Cu9Ag11 structure from the Open Quantum Materials Database. Energies are from PBE-GGA.

```
data_Cu9Ag11
_chemical_formula_sum 'Cu9 Ag11'
_space_group_name_H-M_alt 'P 1'
_space_group_IT_number 1
_cell_length_a 9.6142
_cell_length_b 9.6142
_cell_length_c 11.5528
_cell_angle_alpha 98.81
_cell_angle_beta 98.81
_cell_angle_gamma 16.83
loop_
_space_group_symop_operation_xyz
'x,y,z'
loop_
_atom_site_label
_atom_site_type_symbol
_atom_site_fract_x
_atom_site_fract_y
_atom_site_fract_z
_atom_site_occupancy
Ag1 Ag 0.0065 0.0065 0.0099 1
Ag2 Ag 0.8016 0.8016 0.2029 1
Ag3 Ag 0.9927 0.9927 0.2479 1
Ag4 Ag 0.6023 0.6023 0.3914 1
Ag5 Ag 0.2133 0.2133 0.5450 1
Ag6 Ag 0.3947 0.3947 0.5941 1
Ag7 Ag 0.5957 0.5957 0.6304 1
Ag8 Ag 0.0064 0.0064 0.7590 1
Ag9 Ag 0.1947 0.1947 0.7972 1
Ag10 Ag 0.3968 0.3968 0.8521 1
Ag11 Ag 0.7936 0.7936 0.9602 1
Cu1 Cu 0.1927 0.1927 0.0596 1
Cu2 Cu 0.3986 0.3986 0.0975 1
Cu3 Cu 0.6079 0.6079 0.1569 1
Cu4 Cu 0.2019 0.2019 0.2955 1
Cu5 Cu 0.3989 0.3989 0.3569 1
Cu6 Cu 0.8019 0.8019 0.4322 1
Cu7 Cu 0.9930 0.9930 0.4880 1
Cu8 Cu 0.7998 0.7998 0.7061 1
Cu9 Cu 0.6069 0.6069 0.9172 1
```

---

--- x ---
Here is a geometry-optimized Cu9Ag11 structure from the Open Quantum Materials Database. Energies are from PBE-GGA.

```
data_Cu9Ag11
_chemical_formula_sum 'Cu18 Ag22'
_space_group_name_H-M_alt 'P 1'
_space_group_IT_number 1
_cell_length_a 5.6194
_cell_length_b 9.5659
_cell_length_c 11.7241
_cell_angle_alpha 82.76
_cell_angle_beta 76.75
_cell_angle_gamma 89.51
loop_
_space_group_symop_operation_xyz
'x,y,z'
loop_
_atom_site_label
_atom_site_type_symbol
_atom_site_fract_x
_atom_site_fract_y
_atom_site_fract_z
_atom_site_occupancy
Ag1 Ag 0.2487 0.7564 0.0007 1
Ag2 Ag 0.7638 0.2419 0.0009 1
Ag3 Ag 0.4994 0.4959 0.0051 1
Ag4 Ag 0.9964 0.4966 0.0092 1
Ag5 Ag 0.1473 0.0561 0.1953 1
Ag6 Ag 0.4007 0.7922 0.2031 1
Ag7 Ag 0.8957 0.7947 0.2034 1
Ag8 Ag 0.4111 0.2968 0.2057 1
Ag9 Ag 0.7863 0.1165 0.4001 1
Ag10 Ag 0.0593 0.3561 0.4009 1
Ag11 Ag 0.5447 0.8591 0.4025 1
Ag12 Ag 0.0507 0.8525 0.4056 1
Ag13 Ag 0.4511 0.6453 0.5882 1
Ag14 Ag 0.9578 0.6350 0.5891 1
Ag15 Ag 0.6949 0.3858 0.5962 1
Ag16 Ag 0.7042 0.9148 0.6072 1
Ag17 Ag 0.0964 0.7035 0.7914 1
Ag18 Ag 0.6026 0.6947 0.7956 1
Ag19 Ag 0.6085 0.1942 0.7985 1
Ag20 Ag 0.3359 0.4393 0.8005 1
Ag21 Ag 0.3365 0.9590 0.8025 1
Ag22 Ag 0.7512 0.7633 0.9957 1
Cu1 Cu 0.5023 0.0060 0.0027 1
Cu2 Cu 0.6514 0.0491 0.1965 1
Cu3 Cu 0.9020 0.3071 0.2026 1
Cu4 Cu 0.1442 0.5462 0.2075 1
Cu5 Cu 0.6525 0.5408 0.2107 1
Cu6 Cu 0.7964 0.5932 0.3911 1
Cu7 Cu 0.3150 0.5916 0.3917 1
Cu8 Cu 0.5438 0.3592 0.4011 1
Cu9 Cu 0.2939 0.1053 0.4092 1
Cu10 Cu 0.4256 0.1540 0.5968 1
Cu11 Cu 0.1983 0.9161 0.6012 1
Cu12 Cu 0.1975 0.3856 0.6018 1
Cu13 Cu 0.9721 0.1485 0.6032 1
Cu14 Cu 0.0963 0.2003 0.7943 1
Cu15 Cu 0.8563 0.4411 0.7956 1
Cu16 Cu 0.8587 0.9605 0.8026 1
Cu17 Cu 0.2510 0.2388 0.9967 1
Cu18 Cu 0.9995 0.0064 0.9974 1
```

---

The winner here is w, beating the second structure by 0.6 kJ/mol of atoms.

---

--- w ---
Here is a geometry-optimized K2CuAgF6 structure from the Open Quantum Materials Database. Energies are from PBE-GGA.

```
data_K2CuAgF6
_chemical_formula_sum 'K4 Cu2 Ag2 F12'
_space_group_name_H-M_alt 'P 1'
_space_group_IT_number 1
_cell_length_a 5.8121
_cell_length_b 5.8214
_cell_length_c 10.1100
_cell_angle_alpha 90.00
_cell_angle_beta 124.93
_cell_angle_gamma 90.00
loop_
_space_group_symop_operation_xyz
'x,y,z'
loop_
_atom_site_label
_atom_site_type_symbol
_atom_site_fract_x
_atom_site_fract_y
_atom_site_fract_z
_atom_site_occupancy
Ag1 Ag 0.5000 0.0000 0.0000 1
Ag2 Ag 0.5000 0.5000 0.5000 1
Cu1 Cu 0.0000 0.5000 0.0000 1
Cu2 Cu 0.0000 0.0000 0.5000 1
F1 F 0.8143 0.2348 0.0204 1
F2 F 0.7576 0.7076 0.0223 1
F3 F 0.2755 0.5002 0.2351 1
F4 F 0.7245 0.0002 0.2649 1
F5 F 0.2424 0.2076 0.4777 1
F6 F 0.1857 0.7348 0.4796 1
F7 F 0.8143 0.2652 0.5204 1
F8 F 0.7576 0.7924 0.5223 1
F9 F 0.2755 0.9998 0.7351 1
F10 F 0.7245 0.4998 0.7649 1
F11 F 0.2424 0.2924 0.9777 1
F12 F 0.1857 0.7652 0.9796 1
K1 K 0.2459 0.9801 0.2496 1
K2 K 0.7541 0.4801 0.2504 1
K3 K 0.2459 0.5199 0.7496 1
K4 K 0.7541 0.0199 0.7504 1
```

---

--- x ---
Here is a geometry-optimized K2CuAgF6 structure from the Open Quantum Materials Database. Energies are from PBE-GGA.

```
data_K2CuAgF6
_chemical_formula_sum 'K2 Cu1 Ag1 F6'
_space_group_name_H-M_alt 'P 1'
_space_group_IT_number 1
_cell_length_a 5.7985
_cell_length_b 5.7985
_cell_length_c 5.7983
_cell_angle_alpha 119.91
_cell_angle_beta 119.91
_cell_angle_gamma 60.10
loop_
_space_group_symop_operation_xyz
'x,y,z'
loop_
_atom_site_label
_atom_site_type_symbol
_atom_site_fract_x
_atom_site_fract_y
_atom_site_fract_z
_atom_site_occupancy
Ag1 Ag 0.5000 0.5000 0.5000 1
Cu1 Cu 0.0000 0.0000 0.0000 1
F1 F 0.7630 0.2357 0.2362 1
F2 F 0.2357 0.7630 0.2362 1
F3 F 0.2366 0.2366 0.2371 1
F4 F 0.7634 0.7634 0.7629 1
F5 F 0.7643 0.2370 0.7638 1
F6 F 0.2370 0.7643 0.7638 1
K1 K 0.7500 0.7500 0.2498 1
K2 K 0.2500 0.2500 0.7502 1
```

---

The winner here is w, beating the second structure by 1.1 kJ/mol of atoms.

---

--- w ---
Here is a geometry-optimized Rb2CuAgF6 structure from the Open Quantum Materials Database. Energies are from PBE-GGA.

```
data_Rb2CuAgF6
_chemical_formula_sum 'Rb2 Cu1 Ag1 F6'
_space_group_name_H-M_alt 'P 1'
_space_group_IT_number 1
_cell_length_a 5.8937
_cell_length_b 5.8937
_cell_length_c 5.8937
_cell_angle_alpha 120.01
_cell_angle_beta 120.01
_cell_angle_gamma 89.99
loop_
_space_group_symop_operation_xyz
'x,y,z'
loop_
_atom_site_label
_atom_site_type_symbol
_atom_site_fract_x
_atom_site_fract_y
_atom_site_fract_z
_atom_site_occupancy
Ag1 Ag 0.5000 0.5000 0.0000 1
Cu1 Cu 0.0000 0.0000 0.0000 1
F1 F 0.7646 0.2354 0.0000 1
F2 F 0.2357 0.2357 0.0000 1
F3 F 0.7643 0.7643 0.0000 1
F4 F 0.2354 0.7646 0.0000 1
F5 F 0.2354 0.2354 0.4708 1
F6 F 0.7646 0.7646 0.5292 1
Rb1 Rb 0.7500 0.2500 0.5000 1
Rb2 Rb 0.2500 0.7500 0.5000 1
```

---

--- x ---
Here is a geometry-optimized Rb2CuAgF6 structure from the Open Quantum Materials Database. Energies are from PBE-GGA.

```
data_Rb2CuAgF6
_chemical_formula_sum 'Rb2 Cu1 Ag1 F6'
_space_group_name_H-M_alt 'P 1'
_space_group_IT_number 1
_cell_length_a 5.8425
_cell_length_b 5.8425
_cell_length_c 5.8425
_cell_angle_alpha 59.93
_cell_angle_beta 59.93
_cell_angle_gamma 59.93
loop_
_space_group_symop_operation_xyz
'x,y,z'
loop_
_atom_site_label
_atom_site_type_symbol
_atom_site_fract_x
_atom_site_fract_y
_atom_site_fract_z
_atom_site_occupancy
Ag1 Ag 0.5002 0.5002 0.5002 1
Cu1 Cu 0.0002 0.0002 0.0002 1
F1 F 0.2511 0.7633 0.2215 1
F2 F 0.7790 0.7491 0.2371 1
F3 F 0.7633 0.2215 0.2511 1
F4 F 0.2371 0.7790 0.7491 1
F5 F 0.2215 0.2511 0.7633 1
F6 F 0.7491 0.2371 0.7790 1
Rb1 Rb 0.2499 0.2499 0.2499 1
Rb2 Rb 0.7506 0.7506 0.7506 1
```

---

The winner here is w, beating the second structure by 2.1 kJ/mol of atoms.

---

--- w ---
Here is a geometry-optimized GaCuNiAg structure from the Open Quantum Materials Database. Energies are from PBE-GGA.

```
data_GaCuNiAg
_chemical_formula_sum 'Ga1 Cu1 Ni1 Ag1'
_space_group_name_H-M_alt 'P 1'
_space_group_IT_number 1
_cell_length_a 4.2722
_cell_length_b 4.2722
_cell_length_c 4.2722
_cell_angle_alpha 60.00
_cell_angle_beta 60.00
_cell_angle_gamma 60.00
loop_
_space_group_symop_operation_xyz
'x,y,z'
loop_
_atom_site_label
_atom_site_type_symbol
_atom_site_fract_x
_atom_site_fract_y
_atom_site_fract_z
_atom_site_occupancy
Ag1 Ag 0.5000 0.5000 0.5000 1
Cu1 Cu 0.7500 0.7500 0.7500 1
Ga1 Ga 0.0000 0.0000 0.0000 1
Ni1 Ni 0.2500 0.2500 0.2500 1
```

---

--- x ---
Here is a geometry-optimized GaCuNiAg structure from the Open Quantum Materials Database. Energies are from PBE-GGA.

```
data_GaCuNiAg
_chemical_formula_sum 'Ga1 Cu1 Ni1 Ag1'
_space_group_name_H-M_alt 'P 1'
_space_group_IT_number 1
_cell_length_a 4.2870
_cell_length_b 4.2870
_cell_length_c 4.2870
_cell_angle_alpha 60.00
_cell_angle_beta 60.00
_cell_angle_gamma 60.00
loop_
_space_group_symop_operation_xyz
'x,y,z'
loop_
_atom_site_label
_atom_site_type_symbol
_atom_site_fract_x
_atom_site_fract_y
_atom_site_fract_z
_atom_site_occupancy
Ag1 Ag 0.2500 0.2500 0.2500 1
Cu1 Cu 0.7500 0.7500 0.7500 1
Ga1 Ga 0.0000 0.0000 0.0000 1
Ni1 Ni 0.5000 0.5000 0.5000 1
```

---

The winner here is w, beating the second structure by 7.2 kJ/mol of atoms.

---

--- w ---
Here is a geometry-optimized LiCuAgGe structure from the Open Quantum Materials Database. Energies are from PBE-GGA.

```
data_LiCuAgGe
_chemical_formula_sum 'Li1 Cu1 Ag1 Ge1'
_space_group_name_H-M_alt 'P 1'
_space_group_IT_number 1
_cell_length_a 4.3673
_cell_length_b 4.3673
_cell_length_c 4.3673
_cell_angle_alpha 60.00
_cell_angle_beta 60.00
_cell_angle_gamma 60.00
loop_
_space_group_symop_operation_xyz
'x,y,z'
loop_
_atom_site_label
_atom_site_type_symbol
_atom_site_fract_x
_atom_site_fract_y
_atom_site_fract_z
_atom_site_occupancy
Ag1 Ag 0.2500 0.2500 0.2500 1
Cu1 Cu 0.7500 0.7500 0.7500 1
Ge1 Ge 0.0000 0.0000 0.0000 1
Li1 Li 0.5000 0.5000 0.5000 1
```

---

--- x ---
Here is a geometry-optimized LiCuAgGe structure from the Open Quantum Materials Database. Energies are from PBE-GGA.

```
data_LiCuAgGe
_chemical_formula_sum 'Li1 Cu1 Ag1 Ge1'
_space_group_name_H-M_alt 'P 1'
_space_group_IT_number 1
_cell_length_a 4.3671
_cell_length_b 4.3671
_cell_length_c 4.3671
_cell_angle_alpha 60.00
_cell_angle_beta 60.00
_cell_angle_gamma 60.00
loop_
_space_group_symop_operation_xyz
'x,y,z'
loop_
_atom_site_label
_atom_site_type_symbol
_atom_site_fract_x
_atom_site_fract_y
_atom_site_fract_z
_atom_site_occupancy
Ag1 Ag 0.5000 0.5000 0.5000 1
Cu1 Cu 0.7500 0.7500 0.7500 1
Ge1 Ge 0.0000 0.0000 0.0000 1
Li1 Li 0.2500 0.2500 0.2500 1
```

---

The winner here is w, beating the second structure by 1.3 kJ/mol of atoms.

---

--- w ---
Here is a geometry-optimized CuNiAgGe structure from the Open Quantum Materials Database. Energies are from PBE-GGA.

```
data_CuNiAgGe
_chemical_formula_sum 'Cu1 Ni1 Ag1 Ge1'
_space_group_name_H-M_alt 'P 1'
_space_group_IT_number 1
_cell_length_a 4.3263
_cell_length_b 4.3263
_cell_length_c 4.3263
_cell_angle_alpha 60.00
_cell_angle_beta 60.00
_cell_angle_gamma 60.00
loop_
_space_group_symop_operation_xyz
'x,y,z'
loop_
_atom_site_label
_atom_site_type_symbol
_atom_site_fract_x
_atom_site_fract_y
_atom_site_fract_z
_atom_site_occupancy
Ag1 Ag 0.2500 0.2500 0.2500 1
Cu1 Cu 0.7500 0.7500 0.7500 1
Ge1 Ge 0.0000 0.0000 0.0000 1
Ni1 Ni 0.5000 0.5000 0.5000 1
```

---

--- x ---
Here is a geometry-optimized CuNiAgGe structure from the Open Quantum Materials Database. Energies are from PBE-GGA.

```
data_CuNiAgGe
_chemical_formula_sum 'Cu1 Ni1 Ag1 Ge1'
_space_group_name_H-M_alt 'P 1'
_space_group_IT_number 1
_cell_length_a 4.3012
_cell_length_b 4.3012
_cell_length_c 4.3012
_cell_angle_alpha 60.00
_cell_angle_beta 60.00
_cell_angle_gamma 60.00
loop_
_space_group_symop_operation_xyz
'x,y,z'
loop_
_atom_site_label
_atom_site_type_symbol
_atom_site_fract_x
_atom_site_fract_y
_atom_site_fract_z
_atom_site_occupancy
Ag1 Ag 0.5000 0.5000 0.5000 1
Cu1 Cu 0.7500 0.7500 0.7500 1
Ge1 Ge 0.0000 0.0000 0.0000 1
Ni1 Ni 0.2500 0.2500 0.2500 1
```

---

The winner here is x, beating the second structure by 11.4 kJ/mol of atoms.

---

--- w ---
Here is a geometry-optimized ScCuAgGe structure from the Open Quantum Materials Database. Energies are from PBE-GGA.

```
data_ScCuAgGe
_chemical_formula_sum 'Sc1 Cu1 Ag1 Ge1'
_space_group_name_H-M_alt 'P 1'
_space_group_IT_number 1
_cell_length_a 4.5673
_cell_length_b 4.5673
_cell_length_c 4.5673
_cell_angle_alpha 60.00
_cell_angle_beta 60.00
_cell_angle_gamma 60.00
loop_
_space_group_symop_operation_xyz
'x,y,z'
loop_
_atom_site_label
_atom_site_type_symbol
_atom_site_fract_x
_atom_site_fract_y
_atom_site_fract_z
_atom_site_occupancy
Ag1 Ag 0.2500 0.2500 0.2500 1
Cu1 Cu 0.7500 0.7500 0.7500 1
Ge1 Ge 0.0000 0.0000 0.0000 1
Sc1 Sc 0.5000 0.5000 0.5000 1
```

---

--- x ---
Here is a geometry-optimized ScCuAgGe structure from the Open Quantum Materials Database. Energies are from PBE-GGA.

```
data_ScCuAgGe
_chemical_formula_sum 'Sc1 Cu1 Ag1 Ge1'
_space_group_name_H-M_alt 'P 1'
_space_group_IT_number 1
_cell_length_a 4.5715
_cell_length_b 4.5715
_cell_length_c 4.5715
_cell_angle_alpha 60.00
_cell_angle_beta 60.00
_cell_angle_gamma 60.00
loop_
_space_group_symop_operation_xyz
'x,y,z'
loop_
_atom_site_label
_atom_site_type_symbol
_atom_site_fract_x
_atom_site_fract_y
_atom_site_fract_z
_atom_site_occupancy
Ag1 Ag 0.5000 0.5000 0.5000 1
Cu1 Cu 0.7500 0.7500 0.7500 1
Ge1 Ge 0.0000 0.0000 0.0000 1
Sc1 Sc 0.2500 0.2500 0.2500 1
```

---

The winner here is x, beating the second structure by 4.6 kJ/mol of atoms.